Entry 1:
## Na2HgRhBr6 (GGA-PBE)

Data for Na2HgRhBr6 after structural relaxation.

- energy relative to the elements, uncorrected (kJ/mol of formula units) = -752
- symmetry = R3 (146)
- calculated density (kg/m³) = 4763
- uncorrected energy (eV/cell) = -28.125

Structure (CIF):
```
data_Na2HgRhBr6
_chemical_formula_sum 'Na2 Hg1 Rh1 Br6'
_cell_length_a 7.588
_cell_length_b 7.588
_cell_length_c 7.588
_cell_angle_alpha 57.19
_cell_angle_beta 57.19
_cell_angle_gamma 57.19
_symmetry_space_group_name_H-M 'P 1'
_symmetry_Int_Tables_number 1
_symmetry_space_group_name_Hall 'P 1'
loop_
_atom_site_label
_atom_site_type_symbol
_atom_site_fract_x
_atom_site_fract_y
_atom_site_fract_z
_atom_site_occupancy
Na1 Na 0.000 0.000 0.000 1
Na2 Na 0.486 0.486 0.486 1
Hg1 Hg 0.197 0.197 0.197 1
Rh1 Rh 0.688 0.688 0.688 1
Br1 Br 0.031 0.455 0.806 1
Br2 Br 0.339 0.900 0.583 1
Br3 Br 0.455 0.806 0.031 1
Br4 Br 0.583 0.339 0.900 1
Br5 Br 0.806 0.031 0.455 1
Br6 Br 0.900 0.583 0.339 1
```

---

Entry 2:
## Ce2CoTe (GGA-PBE)

Data for Ce2CoTe after structural relaxation.

- energy relative to the elements, uncorrected (kJ/mol of formula units) = -261
- symmetry = R-3m (166)
- calculated density (kg/m³) = 7437
- uncorrected energy (eV/cell) = -24.822

Structure (CIF):
```
data_Ce2CoTe
_chemical_formula_sum 'Ce2 Co1 Te1'
_cell_length_a 7.775
_cell_length_b 7.775
_cell_length_c 7.775
_cell_angle_alpha 30.02
_cell_angle_beta 30.02
_cell_angle_gamma 30.02
_symmetry_space_group_name_H-M 'P 1'
_symmetry_Int_Tables_number 1
_symmetry_space_group_name_Hall 'P 1'
loop_
_atom_site_label
_atom_site_type_symbol
_atom_site_fract_x
_atom_site_fract_y
_atom_site_fract_z
_atom_site_occupancy
Ce1 Ce 0.233 0.233 0.233 1
Ce2 Ce 0.767 0.767 0.767 1
Co1 Co 0.500 0.500 0.500 1
Te1 Te 0.000 0.000 0.000 1
```

---

Entry 3:
## TaTiCu2 (GGA-PBE)

Data for TaTiCu2 after structural relaxation.

- formation energy (eV/atom) = 0.090
- symmetry = Fm-3m (225)
- calculated density (kg/m³) = 9944
- uncorrected energy (eV/cell) = -27.581

Structure (CIF):
```
data_TaTiCu2
_chemical_formula_sum 'Ta1 Ti1 Cu2'
_cell_length_a 4.380
_cell_length_b 4.380
_cell_length_c 4.380
_cell_angle_alpha 60.00
_cell_angle_beta 60.00
_cell_angle_gamma 60.00
_symmetry_space_group_name_H-M 'P 1'
_symmetry_Int_Tables_number 1
_symmetry_space_group_name_Hall 'P 1'
loop_
_atom_site_label
_atom_site_type_symbol
_atom_site_fract_x
_atom_site_fract_y
_atom_site_fract_z
_atom_site_occupancy
Ta1 Ta 0.000 0.000 0.000 1
Ti1 Ti 0.500 0.500 0.500 1
Cu1 Cu 0.250 0.250 0.250 1
Cu2 Cu 0.750 0.750 0.750 1
```

---

Entry 4:
## Ir4Se (GGA-PBE)

Data for Ir4Se after structural relaxation.

- energy relative to the elements, uncorrected (kJ/mol of formula units) = 471
- symmetry = Im-3m (229)
- calculated density (kg/m³) = 16125
- uncorrected energy (eV/cell) = -34.044

Structure (CIF):
```
data_Ir4Se
_chemical_formula_sum 'Ir4 Se1'
_cell_length_a 4.841
_cell_length_b 4.841
_cell_length_c 4.841
_cell_angle_alpha 109.47
_cell_angle_beta 109.47
_cell_angle_gamma 109.47
_symmetry_space_group_name_H-M 'P 1'
_symmetry_Int_Tables_number 1
_symmetry_space_group_name_Hall 'P 1'
loop_
_atom_site_label
_atom_site_type_symbol
_atom_site_fract_x
_atom_site_fract_y
_atom_site_fract_z
_atom_site_occupancy
Ir1 Ir 0.000 0.000 0.500 1
Ir2 Ir 0.000 0.500 0.000 1
Ir3 Ir 0.500 0.000 0.000 1
Ir4 Ir 0.500 0.500 0.500 1
Se1 Se 0.000 0.000 0.000 1
```

---

Entry 5:
## Np3Sb2H (GGA-PBE)

Data for Np3Sb2H after structural relaxation.

- symmetry = Pnma (62)
- calculated density (kg/m³) = 12361
- uncorrected energy (eV/cell) = -204.954

Structure (CIF):
```
data_Np3Sb2H
_chemical_formula_sum 'Np12 Sb8 H4'
_cell_length_a 6.576
_cell_length_b 4.333
_cell_length_c 18.021
_cell_angle_alpha 90.00
_cell_angle_beta 90.00
_cell_angle_gamma 90.00
_symmetry_space_group_name_H-M 'P 1'
_symmetry_Int_Tables_number 1
_symmetry_space_group_name_Hall 'P 1'
loop_
_atom_site_label
_atom_site_type_symbol
_atom_site_fract_x
_atom_site_fract_y
_atom_site_fract_z
_atom_site_occupancy
Np1 Np 0.031 0.250 0.194 1
Np2 Np 0.104 0.750 0.677 1
Np3 Np 0.180 0.750 0.462 1
Np4 Np 0.320 0.250 0.962 1
Np5 Np 0.396 0.250 0.177 1
Np6 Np 0.469 0.750 0.694 1
Np7 Np 0.531 0.250 0.306 1
Np8 Np 0.604 0.750 0.823 1
Np9 Np 0.680 0.750 0.038 1
Np10 Np 0.820 0.250 0.538 1
Np11 Np 0.896 0.250 0.323 1
Np12 Np 0.969 0.750 0.806 1
Sb1 Sb 0.172 0.750 0.076 1
Sb2 Sb 0.212 0.750 0.293 1
Sb3 Sb 0.288 0.250 0.793 1
Sb4 Sb 0.328 0.250 0.576 1
Sb5 Sb 0.672 0.750 0.424 1
Sb6 Sb 0.712 0.750 0.207 1
Sb7 Sb 0.788 0.250 0.707 1
Sb8 Sb 0.828 0.250 0.924 1
H1 H 0.046 0.250 0.439 1
H2 H 0.454 0.750 0.939 1
H3 H 0.546 0.250 0.061 1
H4 H 0.954 0.750 0.561 1
```

---

Entry 6:
## BTe2I (GGA-PBE)

Data for BTe2I after structural relaxation.

- energy relative to the elements, uncorrected (kJ/mol of formula units) = 237
- symmetry = R-3m (166)
- calculated density (kg/m³) = 4778
- uncorrected energy (eV/cell) = -12.052

Structure (CIF):
```
data_BTe2I
_chemical_formula_sum 'B1 Te2 I1'
_cell_length_a 11.278
_cell_length_b 11.278
_cell_length_c 11.278
_cell_angle_alpha 19.27
_cell_angle_beta 19.27
_cell_angle_gamma 19.27
_symmetry_space_group_name_H-M 'P 1'
_symmetry_Int_Tables_number 1
_symmetry_space_group_name_Hall 'P 1'
loop_
_atom_site_label
_atom_site_type_symbol
_atom_site_fract_x
_atom_site_fract_y
_atom_site_fract_z
_atom_site_occupancy
B1 B 0.000 0.000 0.000 1
Te1 Te 0.061 0.061 0.061 1
Te2 Te 0.939 0.939 0.939 1
I1 I 0.500 0.500 0.500 1
```

---

Entry 7:
## LaPr2TmTl2 (GGA-PBE)

Data for LaPr2TmTl2 after structural relaxation.

- formation energy (eV/atom) = -0.268
- symmetry = Pmc2_1 (26)
- calculated density (kg/m³) = 8724
- uncorrected energy (eV/cell) = -50.591

Structure (CIF):
```
data_LaPr2TmTl2
_chemical_formula_sum 'La2 Pr4 Tm2 Tl4'
_cell_length_a 5.242
_cell_length_b 10.298
_cell_length_c 7.041
_cell_angle_alpha 90.00
_cell_angle_beta 90.00
_cell_angle_gamma 90.00
_symmetry_space_group_name_H-M 'P 1'
_symmetry_Int_Tables_number 1
_symmetry_space_group_name_Hall 'P 1'
loop_
_atom_site_label
_atom_site_type_symbol
_atom_site_fract_x
_atom_site_fract_y
_atom_site_fract_z
_atom_site_occupancy
La1 La 0.000 0.047 0.000 1
La2 La 0.000 0.953 0.500 1
Pr1 Pr 0.000 0.319 0.377 1
Pr2 Pr 0.000 0.681 0.877 1
Pr3 Pr 0.500 0.450 0.098 1
Pr4 Pr 0.500 0.550 0.598 1
Tm1 Tm 0.500 0.192 0.714 1
Tm2 Tm 0.500 0.808 0.214 1
Tl1 Tl 0.000 0.356 0.837 1
Tl2 Tl 0.000 0.644 0.337 1
Tl3 Tl 0.500 0.125 0.268 1
Tl4 Tl 0.500 0.875 0.768 1
```

---

Entry 8:
## RbCaPmF6 (GGA-PBE)

Data for RbCaPmF6 after structural relaxation.

- energy relative to the elements, uncorrected (kJ/mol of formula units) = -3196
- symmetry = Imma (74)
- calculated density (kg/m³) = 2975
- uncorrected energy (eV/cell) = -104.136

Structure (CIF):
```
data_RbCaPmF6
_chemical_formula_sum 'Rb2 Ca2 Pm2 F12'
_cell_length_a 8.495
_cell_length_b 8.495
_cell_length_c 8.495
_cell_angle_alpha 121.89
_cell_angle_beta 119.27
_cell_angle_gamma 89.01
_symmetry_space_group_name_H-M 'P 1'
_symmetry_Int_Tables_number 1
_symmetry_space_group_name_Hall 'P 1'
loop_
_atom_site_label
_atom_site_type_symbol
_atom_site_fract_x
_atom_site_fract_y
_atom_site_fract_z
_atom_site_occupancy
Rb1 Rb 0.284 0.034 0.250 1
Rb2 Rb 0.716 0.966 0.750 1
Ca1 Ca 0.000 0.000 0.500 1
Ca2 Ca 0.000 0.500 0.000 1
Pm1 Pm 0.000 0.500 0.500 1
Pm2 Pm 0.500 0.500 0.000 1
F1 F 0.046 0.410 0.227 1
F2 F 0.046 0.819 0.636 1
F3 F 0.064 0.814 0.250 1
F4 F 0.317 0.181 0.727 1
F5 F 0.317 0.567 0.750 1
F6 F 0.317 0.590 0.136 1
F7 F 0.683 0.410 0.864 1
F8 F 0.683 0.433 0.250 1
F9 F 0.683 0.819 0.273 1
F10 F 0.936 0.186 0.750 1
F11 F 0.954 0.181 0.364 1
F12 F 0.954 0.590 0.773 1
```

---

Entry 9:
## Nd2Fe14B (GGA-PBE)

Data for Nd2Fe14B after structural relaxation.

- formation energy (eV/atom) = -0.058
- symmetry = P4_2/mnm (136)
- calculated density (kg/m³) = 7740
- uncorrected energy (eV/cell) = -542.676

Structure (CIF):
```
data_Nd2Fe14B
_chemical_formula_sum 'Nd8 Fe56 B4'
_cell_length_a 8.754
_cell_length_b 8.754
_cell_length_c 12.107
_cell_angle_alpha 90.00
_cell_angle_beta 90.00
_cell_angle_gamma 90.00
_symmetry_space_group_name_H-M 'P 1'
_symmetry_Int_Tables_number 1
_symmetry_space_group_name_Hall 'P 1'
loop_
_atom_site_label
_atom_site_type_symbol
_atom_site_fract_x
_atom_site_fract_y
_atom_site_fract_z
_atom_site_occupancy
Nd1 Nd 0.143 0.143 0.000 1
Nd2 Nd 0.232 0.232 0.500 1
Nd3 Nd 0.268 0.732 0.000 1
Nd4 Nd 0.357 0.643 0.500 1
Nd5 Nd 0.643 0.357 0.500 1
Nd6 Nd 0.732 0.268 0.000 1
Nd7 Nd 0.768 0.768 0.500 1
Nd8 Nd 0.857 0.857 0.000 1
Fe1 Fe 0.000 0.000 0.385 1
Fe2 Fe 0.000 0.000 0.615 1
Fe3 Fe 0.000 0.500 0.000 1
Fe4 Fe 0.000 0.500 0.500 1
Fe5 Fe 0.037 0.640 0.176 1
Fe6 Fe 0.037 0.640 0.824 1
Fe7 Fe 0.067 0.725 0.372 1
Fe8 Fe 0.067 0.725 0.628 1
Fe9 Fe 0.098 0.902 0.204 1
Fe10 Fe 0.098 0.902 0.796 1
Fe11 Fe 0.140 0.463 0.324 1
Fe12 Fe 0.140 0.463 0.676 1
Fe13 Fe 0.182 0.182 0.254 1
Fe14 Fe 0.182 0.182 0.746 1
Fe15 Fe 0.225 0.433 0.128 1
Fe16 Fe 0.225 0.433 0.872 1
Fe17 Fe 0.275 0.933 0.372 1
Fe18 Fe 0.275 0.933 0.628 1
Fe19 Fe 0.318 0.682 0.246 1
Fe20 Fe 0.318 0.682 0.754 1
Fe21 Fe 0.360 0.963 0.176 1
Fe22 Fe 0.360 0.963 0.824 1
Fe23 Fe 0.402 0.402 0.296 1
Fe24 Fe 0.402 0.402 0.704 1
Fe25 Fe 0.433 0.225 0.128 1
Fe26 Fe 0.433 0.225 0.872 1
Fe27 Fe 0.463 0.140 0.324 1
Fe28 Fe 0.463 0.140 0.676 1
Fe29 Fe 0.500 0.000 0.000 1
Fe30 Fe 0.500 0.000 0.500 1
Fe31 Fe 0.500 0.500 0.115 1
Fe32 Fe 0.500 0.500 0.885 1
Fe33 Fe 0.537 0.860 0.324 1
Fe34 Fe 0.537 0.860 0.676 1
Fe35 Fe 0.567 0.775 0.128 1
Fe36 Fe 0.567 0.775 0.872 1
Fe37 Fe 0.598 0.598 0.296 1
Fe38 Fe 0.598 0.598 0.704 1
Fe39 Fe 0.640 0.037 0.176 1
Fe40 Fe 0.640 0.037 0.824 1
Fe41 Fe 0.682 0.318 0.246 1
Fe42 Fe 0.682 0.318 0.754 1
Fe43 Fe 0.725 0.067 0.372 1
Fe44 Fe 0.725 0.067 0.628 1
Fe45 Fe 0.775 0.567 0.128 1
Fe46 Fe 0.775 0.567 0.872 1
Fe47 Fe 0.818 0.818 0.254 1
Fe48 Fe 0.818 0.818 0.746 1
Fe49 Fe 0.860 0.537 0.324 1
Fe50 Fe 0.860 0.537 0.676 1
Fe51 Fe 0.902 0.098 0.204 1
Fe52 Fe 0.902 0.098 0.796 1
Fe53 Fe 0.933 0.275 0.372 1
Fe54 Fe 0.933 0.275 0.628 1
Fe55 Fe 0.963 0.360 0.176 1
Fe56 Fe 0.963 0.360 0.824 1
B1 B 0.124 0.876 0.500 1
B2 B 0.376 0.376 0.000 1
B3 B 0.624 0.624 0.000 1
B4 B 0.876 0.124 0.500 1
```

---

Entry 10:
## Pu2AlGa6 (GGA-PBE)

Data for Pu2AlGa6 after structural relaxation.

- formation energy (eV/atom) = -0.267
- symmetry = Fm-3m (225)
- calculated density (kg/m³) = 8678
- uncorrected energy (eV/cell) = -52.974

Structure (CIF):
```
data_Pu2AlGa6
_chemical_formula_sum 'Pu2 Al1 Ga6'
_cell_length_a 6.321
_cell_length_b 6.321
_cell_length_c 6.321
_cell_angle_alpha 60.00
_cell_angle_beta 60.00
_cell_angle_gamma 60.00
_symmetry_space_group_name_H-M 'P 1'
_symmetry_Int_Tables_number 1
_symmetry_space_group_name_Hall 'P 1'
loop_
_atom_site_label
_atom_site_type_symbol
_atom_site_fract_x
_atom_site_fract_y
_atom_site_fract_z
_atom_site_occupancy
Pu1 Pu 0.250 0.250 0.250 1
Pu2 Pu 0.750 0.750 0.750 1
Al1 Al 0.000 0.000 0.000 1
Ga1 Ga 0.288 0.288 0.712 1
Ga2 Ga 0.288 0.712 0.288 1
Ga3 Ga 0.288 0.712 0.712 1
Ga4 Ga 0.712 0.288 0.288 1
Ga5 Ga 0.712 0.288 0.712 1
Ga6 Ga 0.712 0.712 0.288 1
```

---

Entry 11:
## CeZrGa5Pd2 (GGA-PBE)

Data for CeZrGa5Pd2 after structural relaxation.

- formation energy (eV/atom) = -0.365
- symmetry = P4/mmm (123)
- calculated density (kg/m³) = 7439
- uncorrected energy (eV/cell) = -43.291

Structure (CIF):
```
data_CeZrGa5Pd2
_chemical_formula_sum 'Ce1 Zr1 Ga5 Pd2'
_cell_length_a 4.808
_cell_length_b 4.808
_cell_length_c 7.657
_cell_angle_alpha 90.00
_cell_angle_beta 90.00
_cell_angle_gamma 90.00
_symmetry_space_group_name_H-M 'P 1'
_symmetry_Int_Tables_number 1
_symmetry_space_group_name_Hall 'P 1'
loop_
_atom_site_label
_atom_site_type_symbol
_atom_site_fract_x
_atom_site_fract_y
_atom_site_fract_z
_atom_site_occupancy
Ce1 Ce 0.000 0.000 0.000 1
Zr1 Zr 0.000 0.000 0.500 1
Ga1 Ga 0.000 0.500 0.271 1
Ga2 Ga 0.000 0.500 0.729 1
Ga3 Ga 0.500 0.000 0.271 1
Ga4 Ga 0.500 0.000 0.729 1
Ga5 Ga 0.500 0.500 0.000 1
Pd1 Pd 0.500 0.500 0.329 1
Pd2 Pd 0.500 0.500 0.671 1
```

---

Entry 12:
## Pm4SmPb (GGA-PBE)

Data for Pm4SmPb after structural relaxation.

- formation energy (eV/atom) = 0.360
- symmetry = I4_1md (109)
- calculated density (kg/m³) = 6567
- uncorrected energy (eV/cell) = -50.541

Structure (CIF):
```
data_Pm4SmPb
_chemical_formula_sum 'Pm8 Sm2 Pb2'
_cell_length_a 8.979
_cell_length_b 8.979
_cell_length_c 8.979
_cell_angle_alpha 98.49
_cell_angle_beta 98.49
_cell_angle_gamma 134.80
_symmetry_space_group_name_H-M 'P 1'
_symmetry_Int_Tables_number 1
_symmetry_space_group_name_Hall 'P 1'
loop_
_atom_site_label
_atom_site_type_symbol
_atom_site_fract_x
_atom_site_fract_y
_atom_site_fract_z
_atom_site_occupancy
Pm1 Pm 0.230 0.000 0.230 1
Pm2 Pm 0.243 0.505 0.261 1
Pm3 Pm 0.243 0.982 0.739 1
Pm4 Pm 0.255 0.493 0.761 1
Pm5 Pm 0.732 0.493 0.239 1
Pm6 Pm 0.750 0.020 0.270 1
Pm7 Pm 0.750 0.480 0.730 1
Pm8 Pm 0.770 0.000 0.770 1
Sm1 Sm 0.547 0.047 0.500 1
Sm2 Sm 0.797 0.797 0.000 1
Pb1 Pb 0.039 0.539 0.500 1
Pb2 Pb 0.289 0.289 0.000 1
```